VASP calculation (GGA-PBEsol) on TaW3 after structural relaxation.

Output
total energy	-108.40	eV for the cell shown
total magnetization	0.0	μB per formula unit
ΔE_f	-57.1	meV/atom

Lattice parameters (Å, degrees): 3.173 4.511 8.974 90.00 90.00 90.00
Space group Cmmm (No. 65)
Unique sites:
1 Ta 0.000 0.000 0.000 (multiplicity 2)
2 W 0.000 0.000 0.500 (multiplicity 2)
3 W 0.000 0.500 0.255 (multiplicity 4)